<A>
Computed, not measured: an optimized crystal structure of SmSc3Tl2 at the PBE-GGA level of DFT.

The structure belongs to space group C2/m (No. 12); the cell edges are 15.7502, 5.1535 and 8.8471 Å and the angles 90.00°, 119.56° and 90.00°. Symmetry generates all atoms from Sm at (0.1320, 0.0000, 0.1672), Sc at (0.0588, 0.0000, 0.7106), Sc at (0.1111, 0.5000, 0.5467), Sc at (0.2000, 0.5000, 0.9897), Tl at (0.0099, 0.5000, 0.1757) and Tl at (0.2193, 0.0000, 0.5973).

The mass density comes out at 7.38 g cm⁻³.

<B>
Computed, not measured: an optimized crystal structure of SmSc3Tl2 at the PBE-GGA level of DFT.

The structure belongs to space group Pmc2_1 (No. 26); the cell edges are 4.8901, 9.5704 and 6.5206 Å and the angles 90.00°, 90.00° and 90.00°. Symmetry generates all atoms from Sm at (0.0000, 0.0423, 0.0000), Sc at (0.0000, 0.3166, 0.6106), Sc at (0.5000, 0.2025, 0.2745), Sc at (0.5000, 0.4581, 0.8956), Tl at (0.0000, 0.3739, 0.1546) and Tl at (0.5000, 0.1433, 0.7281).

The mass density comes out at 7.55 g cm⁻³.

It is <B> that is most stable; the runner-up trails by 7.9 kJ/mol of atoms.